# 1
9
Lattice="-2.672 3.188 0.476 -0.195 1.082 -8.346 -5.407 -7.470 1.266" Properties=species:S:1:pos:R:3 comment="SmU2Se6, relaxed, DFT PBE" total_energy_ev_per_atom=-6.6401 raw_formation_energy_kj_per_mol_atoms=-123.91 de_polymorph_mev_per_atom=0 n_ef_per_ev_fu=10.58 pbc="T T T"
Sm -1.336 1.594 0.238
U -5.961 -1.592 -4.385
U -2.313 -1.608 -2.219
Se -4.665 -2.945 -6.465
Se -0.218 0.119 -2.023
Se -3.784 0.157 -3.886
Se -8.056 -3.319 -4.581
Se -3.609 -0.255 -0.139
Se -4.490 -3.357 -2.719

---

# 2
16
Lattice="6.614 0.000 0.000 0.000 9.128 0.000 0.000 -4.564 7.905" Properties=species:S:1:pos:R:3 comment="Sm3Tm2Tl3, relaxed, DFT PBE" total_energy_ev_per_atom=-4.0835 de_polymorph_mev_per_atom=0 n_ef_per_ev_fu=9.55 pbc="T T T"
Sm 4.960 2.172 0.000
Sm 4.960 3.478 6.024
Sm 4.960 -1.086 1.881
Sm 1.653 6.956 0.000
Sm 1.653 1.086 1.881
Sm 1.653 -3.478 6.024
Tm 0.000 0.000 5.270
Tm 3.307 4.564 2.635
Tm 0.000 4.564 2.635
Tm 3.307 0.000 5.270
Tl 4.960 5.419 0.000
Tl 4.960 1.854 3.212
Tl 4.960 -2.710 4.693
Tl 1.653 3.708 0.000
Tl 1.653 2.710 4.693
Tl 1.653 -1.854 3.212

---

# 3
5
Lattice="-1.224 3.732 -3.571 1.061 -3.410 -3.927 -5.429 -1.739 0.043" Properties=species:S:1:pos:R:3 comment="MgZnTe2I, relaxed, DFT PBE" total_energy_ev_per_atom=-1.9905 raw_formation_energy_kj_per_mol_atoms=14.46 de_polymorph_mev_per_atom=0 n_ef_per_ev_fu=4.30 pbc="T T T"
I -2.715 -0.870 0.022
Zn 0.000 0.000 0.000
Te 0.530 -1.705 -1.964
Te -0.612 1.866 -1.786
Mg -2.796 -0.709 -3.728

---

# 4
14
Lattice="6.567 0.000 0.000 3.284 5.688 0.000 3.284 1.896 6.871" Properties=species:S:1:pos:R:3 comment="CsRb2Hf3O8, relaxed, DFT PBE" total_energy_ev_per_atom=-7.8091 raw_formation_energy_kj_per_mol_atoms=-255.08 n_ef_per_ev_fu=5.08 pbc="T T T"
Cs 9.851 5.688 2.784
Rb 3.284 1.896 4.200
Rb 6.567 3.792 3.449
Hf 6.567 1.901 6.864
Hf 4.930 4.737 6.864
Hf 8.205 4.737 6.864
O 3.284 1.896 1.110
O 9.851 5.688 5.777
O 5.128 2.961 5.801
O 8.006 2.961 5.801
O 6.567 5.453 5.801
O 6.567 2.157 1.079
O 5.152 4.609 1.079
O 7.983 4.609 1.079

---

# 5
7
Lattice="6.351 0.000 0.000 -2.117 5.988 0.000 -2.117 -2.994 5.186" Properties=species:S:1:pos:R:3 comment="HoAg6, relaxed, DFT PBE" total_energy_ev_per_atom=-2.4427 n_ef_per_ev_fu=3.27 pbc="T T T"
Ho 0.000 0.000 0.000
Ag -1.059 2.994 2.593
Ag 1.059 3.742 1.296
Ag -1.059 0.748 3.889
Ag 3.176 0.000 2.593
Ag 1.059 -0.748 3.889
Ag 3.176 2.245 1.296

---

# 6
10
Lattice="-5.540 -1.475 -2.960 3.281 -3.176 -4.558 -0.170 -2.224 1.427" Properties=species:S:1:pos:R:3 comment="BeFe2Si2, relaxed, DFT PBE" total_energy_ev_per_atom=-6.5093 raw_formation_energy_kj_per_mol_atoms=-20.24 de_polymorph_mev_per_atom=0 n_ef_per_ev_fu=3.17 pbc="T T T"
Be 0.000 0.000 0.000
Be -1.129 -2.326 -3.759
Si 0.829 -3.260 -4.981
Si -2.658 -3.303 -5.464
Si -3.088 -1.392 -2.538
Si 0.400 -1.349 -2.054
Fe 1.201 -3.430 -2.744
Fe -0.957 -4.759 -5.074
Fe -3.630 -3.446 -3.347
Fe -1.472 -2.116 -1.017

---

# 7
5
Lattice="-1.132 -3.476 -2.142 2.871 -2.258 2.146 -4.061 -4.359 5.029" Properties=species:S:1:pos:R:3 comment="Sn2Au2Br, relaxed, DFT PBE" total_energy_ev_per_atom=-3.3796 raw_formation_energy_kj_per_mol_atoms=-12.83 de_polymorph_mev_per_atom=21 n_ef_per_ev_fu=3.09 pbc="T T T"
Au -2.161 -5.351 1.444
Au -0.160 -4.742 3.588
Sn -0.270 -3.212 1.164
Sn -2.051 -6.881 3.868
Br 0.000 0.000 0.000

---

# 8
4
Lattice="-1.460 2.202 2.329 -3.432 -0.253 0.750 0.330 -5.388 7.965" Properties=species:S:1:pos:R:3 comment="LiSm2N, relaxed, DFT PBE" total_energy_ev_per_atom=-5.5033 raw_formation_energy_kj_per_mol_atoms=-56.34 n_ef_per_ev_fu=3.00 pbc="T T T"
Li 0.000 0.000 0.000
Sm -0.366 -3.243 5.500
Sm -4.195 -0.196 5.544
N -2.281 -1.720 5.522

---

# 9
10
Lattice="7.677 0.000 0.000 0.000 7.677 0.000 3.838 3.838 5.426" Properties=species:S:1:pos:R:3 comment="Cs2HfHCl6, relaxed, DFT PBE" total_energy_ev_per_atom=-4.2092 n_ef_per_ev_fu=0.00 pbc="T T T"
Cs 7.677 3.838 2.713
Cs 3.838 7.677 2.713
H 3.838 3.838 0.000
Hf 0.000 0.000 0.000
Cl 3.838 3.838 2.962
Cl 7.677 7.677 2.465
Cl 1.742 1.742 0.000
Cl 5.934 5.934 0.000
Cl 5.934 1.742 0.000
Cl 1.742 5.934 0.000

---

# 10
5
Lattice="-3.119 3.119 3.119 3.119 -3.119 3.119 3.119 3.119 -3.119" Properties=species:S:1:pos:R:3 comment="Ta4Pb, relaxed, DFT PBE" total_energy_ev_per_atom=-8.4477 de_polymorph_mev_per_atom=1563 n_ef_per_ev_fu=5.67 pbc="T T T"
Ta -1.559 1.559 1.559
Ta 1.559 -1.559 1.559
Ta 1.559 1.559 -1.559
Ta 1.559 1.559 1.559
Pb 0.000 0.000 0.000

---

# 11
3
Lattice="3.049 0.000 0.000 0.000 3.049 0.000 -1.525 -1.525 5.013" Properties=species:S:1:pos:R:3 comment="HfGaNi, relaxed, DFT PBE" total_energy_ev_per_atom=-6.6710 n_ef_per_ev_fu=2.34 pbc="T T T"
Ni 0.000 0.000 2.978
Hf 1.525 1.525 1.254
Ga 1.525 1.525 4.290

---

# 12
4
Lattice="3.915 0.000 0.000 0.000 3.741 0.000 0.000 0.000 3.741" Properties=species:S:1:pos:R:3 comment="V2ZnIr, relaxed, DFT PBE" total_energy_ev_per_atom=-7.3210 n_ef_per_ev_fu=3.40 pbc="T T T"
Zn 1.957 0.000 0.000
Ir 1.957 1.871 1.871
V 0.000 0.000 1.871
V 0.000 1.871 0.000